{"formula": "Sr2LaTa", "functional": "GGA-PBE", "state": "relaxed", "dos_at_fermi_per_ev_fu": 6.84, "delta_e_f_ev_per_atom": 0.80, "spacegroup": "R-3m", "magmom_total_mub_per_fu": 0.00, "density_g_cm3": 6.2, "polymorph_energy_ev_per_atom": 0.232, "lattice": [[1.7565, 1.0141, 12.5025], [-1.7565, 1.0141, 12.5025], [0.0000, -2.0282, 12.5025]], "species": ["Sr", "Sr", "La", "Ta"], "frac_coords": [[0.2387, 0.2387, 0.2387], [0.7613, 0.7613, 0.7613], [0.0000, 0.0000, 0.0000], [0.5000, 0.5000, 0.5000]]}